(A)
Entry from the Alexandria database: crystalline TePOs at its relaxed geometry (PBE).

The structure in POSCAR format:
```
TePOs
1.0
3.700 0.000 0.000
-1.850 3.204 0.000
0.000 0.000 6.114
Te P Os
1 1 1
Direct
0.000 0.000 0.000 Te
0.333 0.667 0.425 P
0.667 0.333 0.299 Os
```

Results
DOS at the Fermi energy ... 0.95 states/eV/cell

***

(B)
Entry from the Alexandria database: crystalline TePOs at its relaxed geometry (PBE).

The structure in POSCAR format:
```
TePOs
1.0
0.000 3.065 3.065
3.065 0.000 3.065
3.065 3.065 0.000
Te P Os
1 1 1
Direct
0.000 0.000 0.000 Te
0.500 0.500 0.500 P
0.250 0.250 0.250 Os
```

Results
DOS at the Fermi energy ... 1.96 states/eV/cell

***

It is (A) that is the most stable of them.

***

(A)
Entry from the Alexandria database: crystalline TePOs at its relaxed geometry (PBE).

The structure in POSCAR format:
```
TePOs
1.0
-1.507 1.507 6.193
1.507 -1.507 6.193
1.507 1.507 -6.193
Te P Os
1 1 1
Direct
0.000 0.000 0.000 Te
0.272 0.272 0.000 P
0.674 0.674 0.000 Os
```

Results
DOS at the Fermi energy ... 1.11 states/eV/cell

***

(B)
Entry from the Alexandria database: crystalline TePOs at its relaxed geometry (PBE).

The structure in POSCAR format:
```
TePOs
1.0
6.237 0.000 0.000
0.000 6.217 0.000
-2.472 0.000 5.868
Te P Os
4 4 4
Direct
0.166 0.125 0.305 Te
0.166 0.375 0.805 Te
0.834 0.625 0.195 Te
0.834 0.875 0.695 Te
0.363 0.635 0.608 P
0.363 0.865 0.108 P
0.637 0.135 0.892 P
0.637 0.365 0.392 P
0.249 0.519 0.213 Os
0.249 0.981 0.713 Os
0.751 0.019 0.287 Os
0.751 0.481 0.787 Os
```

Results
DOS at the Fermi energy ... 0.43 states/eV/cell

***

It is (B) that is the most stable of them.

***

(A)
Entry from the Alexandria database: crystalline TiPOs3 at its relaxed geometry (PBE).

The structure in POSCAR format:
```
TiPOs3
1.0
4.545 0.000 0.000
0.000 4.545 0.000
0.000 0.000 4.545
Ti P Os
1 1 3
Direct
0.000 0.000 0.000 Ti
0.500 0.500 0.500 P
0.000 0.000 0.500 Os
0.000 0.500 0.000 Os
0.500 0.000 0.000 Os
```

Results
DOS at the Fermi energy ... 6.11 states/eV/cell

***

(B)
Entry from the Alexandria database: crystalline TiPOs3 at its relaxed geometry (PBE).

The structure in POSCAR format:
```
TiPOs3
1.0
4.334 0.000 0.000
0.000 4.334 0.000
0.000 0.000 4.334
Ti P Os
1 1 3
Direct
0.000 0.000 0.000 Ti
0.500 0.500 0.500 P
0.000 0.500 0.500 Os
0.500 0.000 0.500 Os
0.500 0.500 0.000 Os
```

Results
DOS at the Fermi energy ... 4.51 states/eV/cell

***

It is (B) that is the most stable of them.

***

(A)
Entry from the Alexandria database: crystalline Ti3POs at its relaxed geometry (PBE).

The structure in POSCAR format:
```
Ti3POs
1.0
4.430 0.000 0.000
0.000 4.430 0.000
0.000 0.000 4.430
Ti P Os
3 1 1
Direct
0.000 0.000 0.500 Ti
0.000 0.500 0.000 Ti
0.500 0.000 0.000 Ti
0.000 0.000 0.000 P
0.500 0.500 0.500 Os
```

Results
DOS at the Fermi energy ... 8.62 states/eV/cell

***

(B)
Entry from the Alexandria database: crystalline Ti3POs at its relaxed geometry (PBE).

The structure in POSCAR format:
```
Ti3POs
1.0
4.706 0.000 0.000
0.000 4.706 0.000
0.000 0.000 4.706
Ti P Os
3 1 1
Direct
0.000 0.000 0.500 Ti
0.000 0.500 0.000 Ti
0.500 0.000 0.000 Ti
0.500 0.500 0.500 P
0.000 0.000 0.000 Os
```

Results
DOS at the Fermi energy ... 6.05 states/eV/cell

***

It is (A) that is the most stable of them.

***

(A)
Entry from the Alexandria database: crystalline Tl3POs at its relaxed geometry (PBE).

The structure in POSCAR format:
```
Tl3POs
1.0
5.225 0.000 0.000
0.000 5.225 0.000
0.000 0.000 5.225
Tl P Os
3 1 1
Direct
0.000 0.000 0.500 Tl
0.000 0.500 0.000 Tl
0.500 0.000 0.000 Tl
0.000 0.000 0.000 P
0.500 0.500 0.500 Os
```

Results
DOS at the Fermi energy ... 5.51 states/eV/cell

***

(B)
Entry from the Alexandria database: crystalline Tl3POs at its relaxed geometry (PBE).

The structure in POSCAR format:
```
Tl3POs
1.0
5.304 0.000 0.000
0.000 5.304 0.000
0.000 0.000 5.304
Tl P Os
3 1 1
Direct
0.000 0.000 0.500 Tl
0.000 0.500 0.000 Tl
0.500 0.000 0.000 Tl
0.500 0.500 0.500 P
0.000 0.000 0.000 Os
```

Results
DOS at the Fermi energy ... 5.01 states/eV/cell

***

It is (B) that is the most stable of them.

***

(A)
Entry from the Alexandria database: crystalline TlP2Os at its relaxed geometry (PBE).

The structure in POSCAR format:
```
TlP2Os
1.0
1.536 0.887 8.685
-1.536 0.887 8.685
0.000 -1.773 8.685
Tl P Os
1 2 1
Direct
0.000 0.000 0.000 Tl
0.508 0.508 0.508 P
0.781 0.781 0.781 P
0.236 0.236 0.236 Os
```

Results
DOS at the Fermi energy ... 2.01 states/eV/cell

***

(B)
Entry from the Alexandria database: crystalline TlP2Os at its relaxed geometry (PBE).

The structure in POSCAR format:
```
TlP2Os
1.0
-1.452 3.173 4.917
1.452 -3.173 4.917
1.452 3.173 -4.917
Tl P Os
1 2 1
Direct
0.000 0.000 0.000 Tl
0.314 0.814 0.500 P
0.686 0.186 0.500 P
0.500 0.500 0.000 Os
```

Results
DOS at the Fermi energy ... 2.18 states/eV/cell

***

It is (B) that is the most stable of them.

***

(A)
Entry from the Alexandria database: crystalline TlPOs3 at its relaxed geometry (PBE).

The structure in POSCAR format:
```
TlPOs3
1.0
4.908 0.000 0.000
0.000 4.908 0.000
0.000 0.000 4.908
Tl P Os
1 1 3
Direct
0.000 0.000 0.000 Tl
0.500 0.500 0.500 P
0.000 0.000 0.500 Os
0.000 0.500 0.000 Os
0.500 0.000 0.000 Os
```

Results
DOS at the Fermi energy ... 8.98 states/eV/cell

***

(B)
Entry from the Alexandria database: crystalline TlPOs3 at its relaxed geometry (PBE).

The structure in POSCAR format:
```
TlPOs3
1.0
4.421 0.000 0.000
0.000 4.421 0.000
0.000 0.000 4.421
Tl P Os
1 1 3
Direct
0.000 0.000 0.000 Tl
0.500 0.500 0.500 P
0.000 0.500 0.500 Os
0.500 0.000 0.500 Os
0.500 0.500 0.000 Os
```

Results
DOS at the Fermi energy ... 2.51 states/eV/cell

***

It is (B) that is the most stable of them.

***

(A)
Entry from the Alexandria database: crystalline V3POs at its relaxed geometry (PBE).

The structure in POSCAR format:
```
V3POs
1.0
4.237 0.000 0.000
0.000 4.237 0.000
0.000 0.000 4.237
V P Os
3 1 1
Direct
0.000 0.000 0.500 V
0.000 0.500 0.000 V
0.500 0.000 0.000 V
0.000 0.000 0.000 P
0.500 0.500 0.500 Os
```

Results
DOS at the Fermi energy ... 6.47 states/eV/cell

***

(B)
Entry from the Alexandria database: crystalline V3POs at its relaxed geometry (PBE).

The structure in POSCAR format:
```
V3POs
1.0
4.594 0.000 0.000
0.000 4.594 0.000
0.000 0.000 4.594
V P Os
3 1 1
Direct
0.000 0.000 0.500 V
0.000 0.500 0.000 V
0.500 0.000 0.000 V
0.500 0.500 0.500 P
0.000 0.000 0.000 Os
```

Results
DOS at the Fermi energy ... 8.70 states/eV/cell

***

It is (A) that is the most stable of them.

***

(A)
Entry from the Alexandria database: crystalline VP2Os at its relaxed geometry (PBE).

The structure in POSCAR format:
```
VP2Os
1.0
-2.211 2.211 6.776
2.211 -2.211 6.776
2.211 2.211 -6.776
V P Os
2 4 2
Direct
0.000 0.000 0.000 V
0.750 0.250 0.500 V
0.131 0.625 0.006 P
0.375 0.381 0.506 P
0.619 0.125 0.994 P
0.875 0.869 0.494 P
0.250 0.750 0.500 Os
0.500 0.500 0.000 Os
```

Results
DOS at the Fermi energy ... 4.78 states/eV/cell

***

(B)
Entry from the Alexandria database: crystalline VP2Os at its relaxed geometry (PBE).

The structure in POSCAR format:
```
VP2Os
1.0
0.000 2.931 2.931
2.931 0.000 2.931
2.931 2.931 0.000
V P Os
1 2 1
Direct
0.000 0.000 0.000 V
0.250 0.250 0.250 P
0.750 0.750 0.750 P
0.500 0.500 0.500 Os
```

Results
DOS at the Fermi energy ... 2.36 states/eV/cell

***

It is (B) that is the most stable of them.

***

(A)
Entry from the Alexandria database: crystalline POsW at its relaxed geometry (PBE).

The structure in POSCAR format:
```
POsW
1.0
0.000 2.922 2.922
2.922 0.000 2.922
2.922 2.922 0.000
P Os W
1 1 1
Direct
0.000 0.000 0.000 P
0.750 0.750 0.750 Os
0.500 0.500 0.500 W
```

Results
DOS at the Fermi energy ... 2.00 states/eV/cell

***

(B)
Entry from the Alexandria database: crystalline POsW at its relaxed geometry (PBE).

The structure in POSCAR format:
```
POsW
1.0
4.795 -1.491 0.000
4.795 1.491 0.000
-1.463 0.000 6.221
P Os W
2 2 2
Direct
0.071 0.071 0.312 P
0.929 0.929 0.688 P
0.137 0.137 0.964 Os
0.863 0.863 0.036 Os
0.343 0.343 0.381 W
0.657 0.657 0.619 W
```

Results
DOS at the Fermi energy ... 2.69 states/eV/cell

***

(C)
Entry from the Alexandria database: crystalline POsW at its relaxed geometry (PBE).

The structure in POSCAR format:
```
POsW
1.0
-1.457 1.457 4.897
1.457 -1.457 4.897
1.457 1.457 -4.897
P Os W
1 1 1
Direct
0.000 0.000 0.000 P
0.651 0.651 0.000 Os
0.344 0.344 0.000 W
```

Results
DOS at the Fermi energy ... 1.34 states/eV/cell

***

(D)
Entry from the Alexandria database: crystalline POsW at its relaxed geometry (PBE).

The structure in POSCAR format:
```
POsW
1.0
4.155 0.000 0.000
-2.078 3.598 0.000
0.000 0.000 2.839
P Os W
1 1 1
Direct
0.000 0.000 0.000 P
0.667 0.333 0.000 Os
0.333 0.667 0.500 W
```

Results
DOS at the Fermi energy ... 2.31 states/eV/cell

***

It is (B) that is the most stable of them.

***

(A)
Entry from the Alexandria database: crystalline POsW at its relaxed geometry (PBE).

The structure in POSCAR format:
```
POsW
1.0
-1.442 2.024 3.738
1.442 -2.024 3.738
1.442 2.024 -3.738
P Os W
1 1 1
Direct
0.000 0.000 0.000 P
0.677 0.677 0.000 Os
0.329 0.329 0.000 W
```

Results
DOS at the Fermi energy ... 1.64 states/eV/cell

***

(B)
Entry from the Alexandria database: crystalline POsW at its relaxed geometry (PBE).

The structure in POSCAR format:
```
POsW
1.0
0.000 2.423 6.094
1.491 0.000 6.094
1.491 2.423 0.000
P Os W
1 1 1
Direct
0.000 0.000 0.000 P
0.652 0.652 0.348 Os
0.339 0.339 0.661 W
```

Results
DOS at the Fermi energy ... 2.82 states/eV/cell

***

(C)
Entry from the Alexandria database: crystalline POsW at its relaxed geometry (PBE).

The structure in POSCAR format:
```
POsW
1.0
2.836 0.000 0.000
-1.418 2.456 0.000
0.000 0.000 6.139
P Os W
1 1 1
Direct
0.000 0.000 0.000 P
0.333 0.667 0.698 Os
0.667 0.333 0.333 W
```

Results
DOS at the Fermi energy ... 2.43 states/eV/cell

***

It is (C) that is the most stable of them.

***

(A)
Entry from the Alexandria database: crystalline P3OsW at its relaxed geometry (PBE).

The structure in POSCAR format:
```
P3OsW
1.0
4.561 0.000 0.000
0.000 4.561 0.000
0.000 0.000 4.561
P Os W
3 1 1
Direct
0.000 0.000 0.500 P
0.000 0.500 0.000 P
0.500 0.000 0.000 P
0.000 0.000 0.000 Os
0.500 0.500 0.500 W
```

Results
DOS at the Fermi energy ... 4.42 states/eV/cell

***

(B)
Entry from the Alexandria database: crystalline P3OsW at its relaxed geometry (PBE).

The structure in POSCAR format:
```
P3OsW
1.0
4.629 0.000 0.000
0.000 4.629 0.000
0.000 0.000 4.629
P Os W
3 1 1
Direct
0.000 0.000 0.500 P
0.000 0.500 0.000 P
0.500 0.000 0.000 P
0.500 0.500 0.500 Os
0.000 0.000 0.000 W
```

Results
DOS at the Fermi energy ... 4.55 states/eV/cell

***

It is (A) that is the most stable of them.